Nd7Dy5: relaxed, PBE.

The calculation puts the size of the total moment at 0.00 μB/cell. Its energy of formation from the pure elements is 0.164 eV per atom. For the energy above the most stable polymorph in this dataset, the calculation gives 156 meV per atom. For the density of states at the Fermi level, the calculation gives 39.264 states/eV/cell. The volume is 34.1 Å³/atom.

It has space group C2/m (No. 12), with a = 9.731 Å, b = 5.847 Å, c = 14.826 Å, α = 90.00°, β = 103.86° and γ = 90.00°. The distinct sites, in fractional coordinates, are Nd at (0.000, 0.000, 0.000), Nd at (0.039, 0.500, 0.713), Nd at (0.181, 0.000, 0.583), Nd at (0.240, 0.500, 0.171), Dy at (0.000, 0.500, 0.500), Dy at (0.125, 0.000, 0.300) and Dy at (0.140, 0.500, 0.940).